1.
Density functional theory data (GGA-PBEsol) for a geometry-optimized SrH16O10 structure.

a b c (Å): 6.0981 6.0981 6.8276
angles (deg): 90.08 90.08 90.01
Last column: nearest neighbours and their distance in Å.
Atoms (fractional coordinates):
Sr 0.0000 0.0000 0.0000  8 O 2.61, 8 H 2.68
H 0.0691 0.7457 0.3142  1 O 1.00
H 0.0721 0.2538 0.6863  1 O 1.00
H 0.2510 0.0691 0.3171  1 O 1.00
H 0.2543 0.9309 0.6858  1 O 1.00
H 0.3213 0.3289 0.3204  1 O 1.02
H 0.3237 0.6710 0.6815  1 O 1.02
H 0.3290 0.6763 0.3185  1 O 1.02
H 0.3317 0.3234 0.6832  1 O 1.02
H 0.6684 0.3210 0.3187  1 O 1.02
H 0.6711 0.6787 0.6796  1 O 1.02
H 0.6766 0.6683 0.3168  1 O 1.02
H 0.6790 0.3316 0.6813  1 O 1.02
H 0.7462 0.9279 0.3137  1 O 1.00
H 0.7494 0.0721 0.6834  1 O 1.00
H 0.9279 0.2506 0.3166  1 O 1.00
H 0.9309 0.7490 0.6829  1 O 1.00
O 0.2066 0.2186 0.2725  2 H 1.00-1.02
O 0.2097 0.7813 0.7301  2 H 1.00-1.02
O 0.2187 0.7903 0.2699  2 H 1.00-1.02
O 0.2214 0.2097 0.7322  2 H 1.00-1.02
O 0.4992 0.4990 0.3921  1 O 1.47, 4 H 1.58
O 0.5010 0.5008 0.6079  1 O 1.47, 4 H 1.58
O 0.7786 0.2067 0.2704  2 H 1.00-1.02
O 0.7814 0.7934 0.7275  2 H 1.00-1.02
O 0.7903 0.7786 0.2678  2 H 1.00-1.02
O 0.7933 0.2214 0.7296  2 H 1.00-1.02

## Properties
V = 9.40 Å³/atom
Space group = C2 (5)

=====

2.
Density functional theory data (GGA-PBEsol) for a geometry-optimized Hf6CCl14 structure.

a b c (Å): 9.3287 9.3287 11.2935
angles (deg): 90.00 90.00 83.89
Last column: nearest neighbours and their distance in Å.
Atoms (fractional coordinates):
Hf 0.0458 0.1843 0.8831  1 C 2.24, 3 Cl 2.46-2.48
Hf 0.1463 0.8537 0.8939  1 C 2.18
Hf 0.1843 0.0458 0.1169  1 C 2.24, 3 Cl 2.46-2.48
Hf 0.3157 0.4542 0.6169  1 C 2.24, 3 Cl 2.46-2.48
Hf 0.3537 0.6463 0.3939  1 C 2.18
Hf 0.4542 0.3157 0.3831  1 C 2.24, 3 Cl 2.46-2.48
Hf 0.5458 0.6843 0.6169  1 C 2.24, 3 Cl 2.46-2.48
Hf 0.6463 0.3537 0.6061  1 C 2.18
Hf 0.6843 0.5458 0.3831  1 C 2.24, 3 Cl 2.46-2.48
Hf 0.8157 0.9542 0.8831  1 C 2.24, 3 Cl 2.46-2.48
Hf 0.8537 0.1463 0.1061  1 C 2.18
Hf 0.9542 0.8157 0.1169  1 C 2.24, 3 Cl 2.46-2.48
C 0.0000 0.0000 0.0000  6 Hf 2.18-2.24
C 0.5000 0.5000 0.5000  6 Hf 2.18-2.24
Cl 0.0353 0.2127 0.2499  2 Hf 2.47-2.48
Cl 0.0994 0.4006 0.7500  2 Hf 2.61
Cl 0.1178 0.6328 0.0089  2 Hf 2.47-2.48
Cl 0.1328 0.6178 0.5089  2 Hf 2.47-2.48
Cl 0.1580 0.8420 0.2633  3 Hf 2.55-2.85
Cl 0.2127 0.0353 0.7501  2 Hf 2.47-2.48
Cl 0.2492 0.2492 0.5000  2 Hf 2.46
Cl 0.2508 0.2508 0.0000  2 Hf 2.46
Cl 0.2873 0.4647 0.2501  2 Hf 2.47-2.48
Cl 0.3420 0.6580 0.7633  3 Hf 2.55-2.85
Cl 0.3672 0.8822 0.0089  2 Hf 2.47-2.48
Cl 0.3822 0.8672 0.5089  2 Hf 2.47-2.48
Cl 0.4006 0.0994 0.2500  2 Hf 2.61
Cl 0.4647 0.2873 0.7499  2 Hf 2.47-2.48
Cl 0.5353 0.7127 0.2501  2 Hf 2.47-2.48
Cl 0.5994 0.9006 0.7500  2 Hf 2.61
Cl 0.6178 0.1328 0.4911  2 Hf 2.47-2.48
Cl 0.6328 0.1178 0.9911  2 Hf 2.47-2.48
Cl 0.6580 0.3420 0.2367  3 Hf 2.55-2.85
Cl 0.7127 0.5353 0.7499  2 Hf 2.47-2.48
Cl 0.7492 0.7492 0.0000  2 Hf 2.46
Cl 0.7508 0.7508 0.5000  2 Hf 2.46
Cl 0.7873 0.9647 0.2499  2 Hf 2.47-2.48
Cl 0.8420 0.1580 0.7367  3 Hf 2.55-2.85
Cl 0.8672 0.3822 0.4911  2 Hf 2.47-2.48
Cl 0.8822 0.3672 0.9911  2 Hf 2.47-2.48
Cl 0.9006 0.5994 0.2500  2 Hf 2.61
Cl 0.9647 0.7873 0.7501  2 Hf 2.47-2.48

## Properties
V = 23.27 Å³/atom
Space group = Cmce (64)
Uncorrected formation energy = -37.39 eV per formula unit

=====

3.
Density functional theory data (GGA-PBEsol) for a geometry-optimized ZrBHS2 structure.

a b c (Å): 4.3473 4.3473 3.4537
angles (deg): 90.00 90.00 90.00
Last column: nearest neighbours and their distance in Å.
Atoms (fractional coordinates):
Zr 0.0000 0.0000 0.0000  2 H 1.73
B 0.5000 0.5000 0.0000  8 S 2.78, 4 Zr 3.07
H 0.0000 0.0000 0.5000  2 Zr 1.73
S 0.0000 0.5000 0.5000  2 H 2.17
S 0.5000 0.0000 0.5000  2 H 2.17

## Properties
V = 13.05 Å³/atom
Space group = P4/mmm (123)

=====

4.
Density functional theory data (GGA-PBEsol) for a geometry-optimized HgPb2Cl structure.

a b c (Å): 6.4566 6.4566 6.4566
angles (deg): 140.68 140.68 56.82
Last column: nearest neighbours and their distance in Å.
Atoms (fractional coordinates):
Hg 0.0000 0.0000 0.0000  4 Pb 3.07
Pb 0.5000 0.5000 0.0000  4 Hg 3.07
Pb 0.7500 0.2500 0.5000  4 Cl 3.07
Cl 0.2500 0.7500 0.5000  4 Pb 3.07

## Properties
V = 26.79 Å³/atom
Space group = I-4m2 (119)
Uncorrected formation energy = -0.76 eV per formula unit

=====

Number 1: E -5.087 eV/atom. Number 2: E -6.579 eV/atom. Number 3: E -5.254 eV/atom. Number 4: E -2.834 eV/atom.